1.
{"formula": "LiTiB", "functional": "PBE", "state": "optimized geometry", "cell": [[5.2259, 0.0000, 0.0000], [0.0000, 3.0172, 0.0000], [-0.0182, 0.0000, 10.8406]], "species": ["Li", "Li", "Li", "Li", "Ti", "Ti", "Ti", "Ti", "B", "B", "B", "B"], "frac_coords": [[0.1647, 0.0000, 0.1233], [0.3353, 0.5000, 0.8767], [0.6647, 0.5000, 0.1233], [0.8353, 0.0000, 0.8767], [0.0005, 0.5000, 0.6440], [0.4995, 0.0000, 0.3560], [0.5005, 0.0000, 0.6440], [0.9995, 0.5000, 0.3560], [0.1667, 0.0000, 0.5000], [0.3333, 0.5000, 0.5000], [0.6667, 0.5000, 0.5000], [0.8333, 0.0000, 0.5000]], "formation_energy_mev_per_atom": -409, "dos_ef_per_ev_fu": 2.926, "m_tot_mub_per_atom": 0.03}

2.
{"formula": "SmPu2Tl3S6", "functional": "PBE", "state": "optimized geometry", "cell": [[3.5495, -6.1467, 0.0000], [3.5495, 6.1467, 0.0000], [-2.3636, 0.0000, 7.4757]], "species": ["Sm", "Pu", "Pu", "Tl", "Tl", "Tl", "S", "S", "S", "S", "S", "S"], "frac_coords": [[0.0000, 0.0000, 0.0000], [0.3333, 0.6667, 0.0000], [0.6667, 0.3333, 0.0000], [0.1668, 0.8332, 0.5000], [0.5000, 0.5000, 0.5000], [0.8332, 0.1668, 0.5000], [0.0659, 0.4047, 0.1980], [0.2730, 0.2730, 0.8029], [0.4047, 0.0659, 0.1980], [0.5953, 0.9341, 0.8020], [0.7270, 0.7270, 0.1971], [0.9341, 0.5953, 0.8020]], "dos_ef_per_ev_fu": 17.735, "raw_formation_energy_ev_per_atom": -1.290, "m_tot_mub_per_atom": 0.83}

3.
{"formula": "CaSiNF2", "functional": "PBE", "state": "optimized geometry", "cell": [[4.9390, 0.0000, 0.0000], [0.0000, 4.9390, 0.0000], [0.0000, 0.0000, 3.2876]], "species": ["Ca", "Si", "N", "F", "F"], "frac_coords": [[0.0000, 0.0000, 0.0000], [0.5000, 0.5000, 0.0000], [0.5000, 0.5000, 0.5000], [0.0000, 0.5000, 0.5000], [0.5000, 0.0000, 0.5000]], "dos_ef_per_ev_fu": 1.306, "raw_formation_energy_ev_per_atom": -0.976, "m_tot_mub_per_atom": 0.00}

4.
{"formula": "Mn3SnC", "functional": "PBE", "state": "optimized geometry", "cell": [[5.2503, 0.0000, 0.0000], [0.0000, 5.2503, 0.0000], [0.0000, 0.0000, 5.2503]], "species": ["Mn", "Mn", "Mn", "Sn", "C"], "frac_coords": [[0.0000, 0.0000, 0.5000], [0.0000, 0.5000, 0.0000], [0.5000, 0.0000, 0.0000], [0.0000, 0.0000, 0.0000], [0.5000, 0.5000, 0.5000]], "formation_energy_mev_per_atom": 2275, "dos_ef_per_ev_fu": 5.204, "m_tot_mub_per_atom": 2.27}

5.
{"formula": "Tb8Dy2Er", "functional": "PBE", "state": "optimized geometry", "cell": [[4.4939, -8.1151, 0.0000], [4.4939, 8.1151, 0.0000], [-3.3040, 0.0000, 4.8424]], "species": ["Tb", "Tb", "Tb", "Tb", "Tb", "Tb", "Tb", "Tb", "Dy", "Dy", "Er"], "frac_coords": [[0.0981, 0.3356, 0.6830], [0.2053, 0.7947, 0.0000], [0.3356, 0.0981, 0.6830], [0.4303, 0.4303, 0.2061], [0.5697, 0.5697, 0.7939], [0.6644, 0.9019, 0.3170], [0.7947, 0.2053, 0.0000], [0.9019, 0.6644, 0.3170], [0.3093, 0.6907, 0.5000], [0.6907, 0.3093, 0.5000], [0.0000, 0.0000, 0.0000]], "formation_energy_mev_per_atom": 155, "dos_ef_per_ev_fu": 15.614, "m_tot_mub_per_atom": 0.00}

6.
{"formula": "BaLiSn4", "functional": "PBE", "state": "optimized geometry", "cell": [[2.4771, -11.4437, 0.0000], [2.4771, 11.4437, 0.0000], [0.0000, 0.0000, 6.4677]], "species": ["Ba", "Ba", "Li", "Li", "Sn", "Sn", "Sn", "Sn", "Sn", "Sn", "Sn", "Sn"], "frac_coords": [[0.1238, 0.8762, 0.7500], [0.8762, 0.1238, 0.2500], [0.3907, 0.6093, 0.7500], [0.6093, 0.3907, 0.2500], [0.0420, 0.9580, 0.2500], [0.2852, 0.7148, 0.5116], [0.2852, 0.7148, 0.9884], [0.5000, 0.5000, 0.0000], [0.5000, 0.5000, 0.5000], [0.7148, 0.2852, 0.0116], [0.7148, 0.2852, 0.4884], [0.9580, 0.0420, 0.7500]], "formation_energy_mev_per_atom": -340, "dos_ef_per_ev_fu": 2.824, "m_tot_mub_per_atom": 0.00}